(1)
A geometry-optimized CaLa2InO structure. Source: Alexandria via LeMat-Bulk, functional PBE-GGA.

Results
**Total magnetic moment**: 0.0 Bohr magnetons per cell
**Crystal system**: tetragonal
**DFT total energy**: -5.33 eV per atom

Cell lengths 5.085, 5.085, 4.938 Å; angles 90.00, 90.00, 90.00 degrees
Atoms (fractional coordinates):
1 Ca 0.000 0.000 0.500
2 La 0.000 0.500 0.000
3 La 0.500 0.000 0.000
4 In 0.500 0.500 0.500
5 O 0.000 0.000 0.000

=====

(2)
A geometry-optimized Pm5Hg4Ru structure. Source: Alexandria via LeMat-Bulk, functional PBE-GGA.

Results
**Total magnetic moment**: 0.8 Bohr magnetons per cell
**Crystal system**: tetragonal
**Calculated formation energy**: -0.415 eV per atom

Cell lengths 3.673, 3.673, 19.535 Å; angles 90.00, 90.00, 90.00 degrees
Site moments in Bohr magnetons follow the coordinates.
Atoms (fractional coordinates):
1 Pm 0.500 0.500 0.085  0.01
2 Pm 0.500 0.500 0.706  0.15
3 Pm 0.500 0.500 0.915  0.01
4 Pm 0.500 0.500 0.294  0.15
5 Pm 0.500 0.500 0.500  0.12
6 Ru 0.000 0.000 0.000  -0.01
7 Hg 0.000 0.000 0.603  0.01
8 Hg 0.000 0.000 0.807  0.01
9 Hg 0.000 0.000 0.397  0.01
10 Hg 0.000 0.000 0.193  0.01

=====

(3)
A geometry-optimized In4HgAu structure. Source: Alexandria via LeMat-Bulk, functional PBE-GGA.

Results
**Total magnetic moment**: 0.0 Bohr magnetons per cell
**Crystal system**: tetragonal
**Calculated formation energy**: -0.088 eV per atom
**Polymorph energy (0 for the lowest one)**: 0.000 eV per atom

Cell lengths 4.859, 4.859, 6.790 Å; angles 90.00, 90.00, 90.00 degrees
Atoms (fractional coordinates):
1 In 0.000 0.500 0.739
2 In 0.000 0.500 0.261
3 In 0.500 0.000 0.261
4 In 0.500 0.000 0.739
5 Au 0.500 0.500 0.500
6 Hg 0.000 0.000 0.000

=====

(4)
A geometry-optimized Dy2ScSb structure. Source: Alexandria via LeMat-Bulk, functional PBE-GGA.

Results
**Total magnetic moment**: 0.7 Bohr magnetons per cell
**Crystal system**: trigonal
**Polymorph energy (0 for the lowest one)**: 0.263 eV per atom

Cell lengths 3.976, 3.976, 9.331 Å; angles 77.70, 77.70, 60.00 degrees
Site moments in Bohr magnetons follow the coordinates.
Atoms (fractional coordinates):
1 Sc 0.500 0.500 0.499  0.21
2 Dy 0.262 0.262 0.214  0.01
3 Dy 0.071 0.071 0.786  0.18
4 Sb 0.666 0.666 0.001  0.00

=====

(5)
A geometry-optimized Pm4NiHBr2 structure. Source: Alexandria via LeMat-Bulk, functional PBE-GGA.

Results
**Total magnetic moment**: 0.0 Bohr magnetons per cell
**Crystal system**: monoclinic
**DFT total energy**: -4.68 eV per atom

Cell lengths 3.941, 6.691, 7.881 Å; angles 106.43, 90.00, 90.00 degrees
Atoms (fractional coordinates):
1 Pm 0.000 0.271 0.802
2 Pm 0.500 0.248 0.194
3 Pm 0.500 0.752 0.806
4 Pm 0.000 0.729 0.198
5 H 0.500 0.500 0.000
6 Ni 0.000 0.000 0.000
7 Br 0.000 0.500 0.500
8 Br 0.500 0.000 0.500

=====

(6)
A geometry-optimized UCdAgHg structure. Source: Alexandria via LeMat-Bulk, functional PBE-GGA.

Results
**Total magnetic moment**: 2.7 Bohr magnetons per cell
**Crystal system**: cubic
**Calculated formation energy**: 0.224 eV per atom

Cell lengths 5.065, 5.065, 5.065 Å; angles 60.00, 60.00, 60.00 degrees
Site moments in Bohr magnetons follow the coordinates.
Atoms (fractional coordinates):
1 Cd 0.250 0.250 0.250  0.00
2 Hg 0.500 0.500 0.500  0.01
3 U 0.750 0.750 0.750  2.51
4 Ag 0.000 0.000 0.000  0.01

=====

(7)
A geometry-optimized NaAgH2 structure. Source: Alexandria via LeMat-Bulk, functional PBE-GGA.

Results
**Total magnetic moment**: 0.0 Bohr magnetons per cell
**Crystal system**: trigonal
**Polymorph energy (0 for the lowest one)**: 0.075 eV per atom

Cell lengths 3.353, 3.353, 5.490 Å; angles 90.00, 90.00, 120.00 degrees
Atoms (fractional coordinates):
1 Ag 0.000 0.000 0.003
2 H 0.667 0.333 0.913
3 H 0.000 0.000 0.342
4 Na 0.667 0.333 0.492

=====

(8)
A geometry-optimized SrCaTl2Ni structure. Source: Alexandria via LeMat-Bulk, functional PBE-GGA.

Results
**Total magnetic moment**: 0.0 Bohr magnetons per cell
**Crystal system**: tetragonal
**Calculated formation energy**: -0.145 eV per atom

Cell lengths 5.252, 5.252, 5.166 Å; angles 90.00, 90.00, 90.00 degrees
Atoms (fractional coordinates):
1 Tl 0.000 0.500 0.000
2 Tl 0.500 0.000 0.000
3 Ca 0.000 0.000 0.500
4 Sr 0.500 0.500 0.500
5 Ni 0.000 0.000 0.000

=====

(9)
A geometry-optimized ZnCuTe2 structure. Source: Alexandria via LeMat-Bulk, functional PBE-GGA.

Results
**Total magnetic moment**: 0.0 Bohr magnetons per cell
**Crystal system**: monoclinic
**Polymorph energy (0 for the lowest one)**: 0.166 eV per atom

Cell lengths 6.833, 4.083, 4.083 Å; angles 121.51, 107.44, 72.56 degrees
Atoms (fractional coordinates):
1 Te 0.263 0.280 0.720
2 Te 0.737 0.720 0.280
3 Zn 0.000 0.000 0.000
4 Cu 0.500 0.500 0.500

=====

(10)
A geometry-optimized Ta2OsSe structure. Source: Alexandria via LeMat-Bulk, functional PBE-GGA.

Results
**Total magnetic moment**: 0.0 Bohr magnetons per cell
**Crystal system**: orthorhombic
**DFT total energy**: -9.40 eV per atom

Cell lengths 2.929, 2.929, 9.072 Å; angles 90.00, 90.00, 111.96 degrees
Atoms (fractional coordinates):
1 Ta 0.500 0.500 0.256
2 Ta 0.000 0.000 0.997
3 Se 0.500 0.500 0.774
4 Os 0.000 0.000 0.473

=====

(11)
A geometry-optimized CsPCBr structure. Source: Alexandria via LeMat-Bulk, functional PBE-GGA.

Results
**Total magnetic moment**: 0.0 Bohr magnetons per cell
**Crystal system**: monoclinic
**Polymorph energy (0 for the lowest one)**: 0.125 eV per atom

Cell lengths 3.899, 6.041, 12.258 Å; angles 90.00, 102.49, 90.00 degrees
Atoms (fractional coordinates):
1 Br 0.497 0.000 0.408
2 Br 0.497 0.500 0.908
3 C 0.142 0.000 0.666
4 C 0.142 0.500 0.166
5 Cs 0.008 0.000 0.927
6 Cs 0.008 0.500 0.427
7 P 0.517 0.500 0.129
8 P 0.517 0.000 0.629

=====

(12)
A geometry-optimized MnZn4Se5 structure. Source: Alexandria via LeMat-Bulk, functional PBE-GGA.

Results
**Total magnetic moment**: 5.0 Bohr magnetons per cell
**Crystal system**: trigonal
**Polymorph energy (0 for the lowest one)**: 0.008 eV per atom

Cell lengths 16.857, 16.857, 16.857 Å; angles 13.90, 13.90, 13.90 degrees
Site moments in Bohr magnetons follow the coordinates.
Atoms (fractional coordinates):
1 Se 0.199 0.199 0.199  0.01
2 Se 0.401 0.401 0.401  0.01
3 Se 0.800 0.800 0.800  0.00
4 Se 0.599 0.599 0.599  0.02
5 Se 0.001 0.001 0.001  0.08
6 Zn 0.450 0.450 0.450  0.00
7 Zn 0.850 0.850 0.850  0.00
8 Zn 0.051 0.051 0.051  0.02
9 Zn 0.249 0.249 0.249  0.02
10 Mn 0.650 0.650 0.650  4.29

=====

(13)
A geometry-optimized Rb3Be2BiO6 structure. Source: Alexandria via LeMat-Bulk, functional PBE-GGA.

Results
**Total magnetic moment**: 0.0 Bohr magnetons per cell
**Crystal system**: trigonal
**DFT total energy**: -5.32 eV per atom

Cell lengths 5.690, 5.690, 7.274 Å; angles 90.00, 90.00, 120.00 degrees
Atoms (fractional coordinates):
1 O 0.825 0.650 0.679
2 O 0.825 0.175 0.679
3 O 0.175 0.350 0.321
4 O 0.175 0.825 0.321
5 O 0.650 0.825 0.321
6 O 0.350 0.175 0.679
7 Rb 0.667 0.333 0.244
8 Rb 0.000 0.000 0.000
9 Rb 0.333 0.667 0.756
10 Bi 0.000 0.000 0.500
11 Be 0.333 0.667 0.336
12 Be 0.667 0.333 0.664

=====

(14)
A geometry-optimized Na2Tl2Hg7 structure. Source: Alexandria via LeMat-Bulk, functional PBE-GGA.

Results
**Total magnetic moment**: 0.0 Bohr magnetons per cell
**Crystal system**: orthorhombic
**Calculated formation energy**: -0.118 eV per atom
**Polymorph energy (0 for the lowest one)**: 0.000 eV per atom

Cell lengths 5.319, 8.338, 8.338 Å; angles 62.57, 71.40, 71.40 degrees
Atoms (fractional coordinates):
1 Hg 0.857 0.441 0.844
2 Hg 0.641 0.503 0.215
3 Hg 0.359 0.785 0.497
4 Hg 0.148 0.782 0.922
5 Hg 0.500 0.949 0.051
6 Hg 0.143 0.156 0.559
7 Hg 0.852 0.078 0.218
8 Tl 0.500 0.323 0.677
9 Tl 0.000 0.619 0.381
10 Na 0.724 0.884 0.667
11 Na 0.276 0.333 0.116

=====

(15)
A geometry-optimized Pr2GdTi structure. Source: Alexandria via LeMat-Bulk, functional PBE-GGA.

Results
**Total magnetic moment**: 6.0 Bohr magnetons per cell
**Crystal system**: tetragonal
**Calculated formation energy**: 0.192 eV per atom
**Polymorph energy (0 for the lowest one)**: 0.000 eV per atom

Cell lengths 3.730, 3.730, 8.718 Å; angles 90.00, 90.00, 90.00 degrees
Site moments in Bohr magnetons follow the coordinates.
Atoms (fractional coordinates):
1 Ti 0.500 0.500 0.000  -1.22
2 Gd 0.500 0.500 0.500  7.34
3 Pr 0.000 0.000 0.215  -0.07
4 Pr 0.000 0.000 0.785  -0.07

=====

(16)
A geometry-optimized PCl7 structure. Source: Alexandria via LeMat-Bulk, functional PBE-GGA.

Results
**Total magnetic moment**: 1.9 Bohr magnetons per cell
**Crystal system**: cubic
**DFT total energy**: -1.41 eV per atom

Cell lengths 6.119, 6.119, 6.119 Å; angles 60.00, 60.00, 60.00 degrees
Site moments in Bohr magnetons follow the coordinates.
Atoms (fractional coordinates):
1 Cl 0.000 0.500 0.000  0.20
2 Cl 0.000 0.500 0.500  0.20
3 Cl 0.000 0.000 0.500  0.20
4 Cl 0.500 0.000 0.500  0.20
5 Cl 0.500 0.500 0.500  0.04
6 Cl 0.500 0.000 0.000  0.20
7 Cl 0.500 0.500 0.000  0.20
8 P 0.000 0.000 0.000  0.16

=====

(17)
A geometry-optimized LaBe2Pd2Pt structure. Source: Alexandria via LeMat-Bulk, functional PBE-GGA.

Results
**Total magnetic moment**: 0.0 Bohr magnetons per cell
**Crystal system**: tetragonal
**Calculated formation energy**: -0.589 eV per atom

Cell lengths 4.295, 4.295, 5.672 Å; angles 90.00, 90.00, 90.00 degrees
Atoms (fractional coordinates):
1 Pd 0.500 0.500 0.244
2 Pd 0.500 0.500 0.756
3 Be 0.500 0.000 0.000
4 Be 0.000 0.500 0.000
5 La 0.000 0.000 0.500
6 Pt 0.000 0.000 0.000

=====

(18)
A geometry-optimized Sm5ZnRh4 structure. Source: Alexandria via LeMat-Bulk, functional PBE-GGA.

Results
**Total magnetic moment**: 0.0 Bohr magnetons per cell
**Crystal system**: tetragonal
**Calculated formation energy**: -0.643 eV per atom

Cell lengths 3.545, 3.545, 17.519 Å; angles 90.00, 90.00, 90.00 degrees
Atoms (fractional coordinates):
1 Sm 0.500 0.500 0.303
2 Sm 0.500 0.500 0.109
3 Sm 0.500 0.500 0.891
4 Sm 0.500 0.500 0.697
5 Sm 0.500 0.500 0.500
6 Zn 0.000 0.000 0.000
7 Rh 0.000 0.000 0.203
8 Rh 0.000 0.000 0.599
9 Rh 0.000 0.000 0.797
10 Rh 0.000 0.000 0.401

=====

(19)
A geometry-optimized HoBe2SiNi4 structure. Source: Alexandria via LeMat-Bulk, functional PBE-GGA.

Results
**Total magnetic moment**: 0.0 Bohr magnetons per cell
**Crystal system**: trigonal
**DFT total energy**: -5.50 eV per atom

Cell lengths 3.801, 3.801, 8.323 Å; angles 76.80, 76.80, 60.00 degrees
Atoms (fractional coordinates):
1 Ni 0.134 0.134 0.599
2 Ni 0.592 0.592 0.223
3 Ni 0.408 0.408 0.777
4 Ni 0.866 0.866 0.401
5 Be 0.763 0.763 0.710
6 Be 0.237 0.237 0.290
7 Ho 0.000 0.000 0.000
8 Si 0.500 0.500 0.500

=====

(20)
A geometry-optimized TiFeHg2P structure. Source: Alexandria via LeMat-Bulk, functional PBE-GGA.

Results
**Total magnetic moment**: 0.0 Bohr magnetons per cell
**Crystal system**: tetragonal
**Calculated formation energy**: 0.753 eV per atom

Cell lengths 4.986, 4.086, 4.986 Å; angles 90.00, 90.00, 90.00 degrees
Atoms (fractional coordinates):
1 Fe 0.000 0.500 0.000
2 Ti 0.500 0.500 0.500
3 P 0.000 0.000 0.000
4 Hg 0.000 0.000 0.500
5 Hg 0.500 0.000 0.000